A plane-wave DFT calculation with PBE-GGA was carried out for a relaxed structure of Rb2BaC.

Values from the calculation:
DOS(E_F)   3.45 states/eV/f.u.
V   431 Å³/cell
DFT formation energy   0.93 eV per atom

Cell lengths 9.557, 9.557, 9.557 Å; angles 94.03, 94.03, 149.24 degrees
Sites, in units of the cell vectors:
Rb 0.375 0.042 0.167
Rb 0.792 0.625 0.667
Rb 0.875 0.208 0.833
Rb 0.958 0.125 0.333
Ba 0.250 0.750 0.500
Ba 0.500 0.500 0.000
C 0.000 0.000 0.000
C 0.750 0.250 0.500

***

A plane-wave DFT calculation with PBE-GGA was carried out for a relaxed structure of YZrCdRu.

Values from the calculation:
DOS(E_F)   2.82 states/eV/f.u.
V   84 Å³/cell
DFT formation energy   -0.22 eV per atom

Cell lengths 4.924, 4.924, 4.924 Å; angles 60.00, 60.00, 60.00 degrees
Sites, in units of the cell vectors:
Y 0.000 0.000 0.000
Zr 0.500 0.500 0.500
Cd 0.750 0.750 0.750
Ru 0.250 0.250 0.250

***

A plane-wave DFT calculation with PBE-GGA was carried out for a relaxed structure of La3TiGe.

Values from the calculation:
DOS(E_F)   9.64 states/eV/f.u.
V   155 Å³/cell
DFT formation energy   0.31 eV per atom

Cell lengths 5.376, 5.376, 5.376 Å; angles 90.00, 90.00, 90.00 degrees
Sites, in units of the cell vectors:
La 0.000 0.000 0.500
La 0.000 0.500 0.000
La 0.500 0.000 0.000
Ti 0.000 0.000 0.000
Ge 0.500 0.500 0.500

***

A plane-wave DFT calculation with PBE-GGA was carried out for a relaxed structure of CoNiIr2.

Values from the calculation:
DOS(E_F)   5.23 states/eV/f.u.
V   52 Å³/cell
DFT formation energy   0.06 eV per atom

Cell lengths 2.692, 2.692, 7.107 Å; angles 90.00, 90.00, 90.00 degrees
Sites, in units of the cell vectors:
Co 0.000 0.000 0.000
Ni 0.500 0.500 0.774
Ir 0.000 0.000 0.521
Ir 0.500 0.500 0.251

***

A plane-wave DFT calculation with PBE-GGA was carried out for a relaxed structure of Er2Ni7Ge.

Values from the calculation:
DOS(E_F)   13.39 states/eV/f.u.
V   148 Å³/cell
DFT formation energy   -0.31 eV per atom

Cell lengths 3.741, 3.741, 10.547 Å; angles 90.00, 90.00, 90.00 degrees
Sites, in units of the cell vectors:
Er 0.000 0.500 0.232
Er 0.500 0.000 0.768
Ni 0.000 0.000 0.000
Ni 0.000 0.500 0.641
Ni 0.000 0.500 0.858
Ni 0.500 0.000 0.142
Ni 0.500 0.000 0.359
Ni 0.500 0.500 0.000
Ni 0.500 0.500 0.500
Ge 0.000 0.000 0.500

***

A plane-wave DFT calculation with PBE-GGA was carried out for a relaxed structure of La2GeAu.

Values from the calculation:
DOS(E_F)   3.85 states/eV/f.u.
V   108 Å³/cell
DFT formation energy   -0.75 eV per atom

Cell lengths 5.340, 5.340, 3.784 Å; angles 90.00, 90.00, 90.00 degrees
Sites, in units of the cell vectors:
La 0.000 0.500 0.000
La 0.500 0.000 0.000
Ge 0.000 0.000 0.500
Au 0.500 0.500 0.500

***

A plane-wave DFT calculation with PBE-GGA was carried out for a relaxed structure of TeAsP2S.

Values from the calculation:
DOS(E_F)   4.44 states/eV/f.u.
Calculated total energy   -18.6 eV/cell
V   108 Å³/cell

Cell lengths 4.849, 4.849, 4.574 Å; angles 90.00, 90.00, 90.00 degrees
Sites, in units of the cell vectors:
Te 0.000 0.000 0.000
As 0.500 0.500 0.500
P 0.000 0.500 0.500
P 0.500 0.000 0.500
S 0.500 0.500 0.000

***

A plane-wave DFT calculation with PBE-GGA was carried out for a relaxed structure of Na3CdF.

Values from the calculation:
DOS(E_F)   2.39 states/eV/f.u.
Calculated total energy   -11.9 eV/cell
V   113 Å³/cell

Cell lengths 4.837, 4.837, 4.837 Å; angles 90.00, 90.00, 90.00 degrees
Sites, in units of the cell vectors:
Na 0.000 0.000 0.500
Na 0.000 0.500 0.000
Na 0.500 0.000 0.000
Cd 0.500 0.500 0.500
F 0.000 0.000 0.000

***

A plane-wave DFT calculation with PBE-GGA was carried out for a relaxed structure of LiEuAlGa.

Values from the calculation:
DOS(E_F)   2.05 states/eV/f.u.
V   81 Å³/cell
DFT formation energy   -0.27 eV per atom

Cell lengths 4.855, 4.855, 4.855 Å; angles 60.00, 60.00, 60.00 degrees
Sites, in units of the cell vectors:
Li 0.000 0.000 0.000
Eu 0.750 0.750 0.750
Al 0.250 0.250 0.250
Ga 0.500 0.500 0.500

***

A plane-wave DFT calculation with PBE-GGA was carried out for a relaxed structure of MnAg2Pt.

Values from the calculation:
DOS(E_F)   2.35 states/eV/f.u.
V   66 Å³/cell
DFT formation energy   0.01 eV per atom

Cell lengths 4.545, 4.545, 4.545 Å; angles 60.00, 60.00, 60.00 degrees
Sites, in units of the cell vectors:
Mn 0.000 0.000 0.000
Ag 0.250 0.250 0.250
Ag 0.500 0.500 0.500
Pt 0.750 0.750 0.750

***

A plane-wave DFT calculation with PBE-GGA was carried out for a relaxed structure of BaNbInAg2.

Values from the calculation:
DOS(E_F)   5.81 states/eV/f.u.
V   156 Å³/cell
DFT formation energy   0.45 eV per atom

Cell lengths 5.345, 5.345, 5.470 Å; angles 90.00, 90.00, 90.00 degrees
Sites, in units of the cell vectors:
Ba 0.000 0.000 0.000
Nb 0.500 0.500 0.500
In 0.500 0.500 0.000
Ag 0.000 0.500 0.500
Ag 0.500 0.000 0.500

***

A plane-wave DFT calculation with PBE-GGA was carried out for a relaxed structure of U2GePt6.

Values from the calculation:
DOS(E_F)   14.96 states/eV/f.u.
V   165 Å³/cell
DFT formation energy   -0.65 eV per atom

Cell lengths 5.651, 5.651, 5.973 Å; angles 90.00, 90.00, 120.00 degrees
Sites, in units of the cell vectors:
U 0.333 0.667 0.342
U 0.667 0.333 0.658
Ge 0.000 0.000 0.500
Pt 0.173 0.346 0.810
Pt 0.173 0.827 0.810
Pt 0.346 0.173 0.190
Pt 0.654 0.827 0.810
Pt 0.827 0.173 0.190
Pt 0.827 0.654 0.190

***

A plane-wave DFT calculation with PBE-GGA was carried out for a relaxed structure of LaCoP2Ru.

Values from the calculation:
DOS(E_F)   2.09 states/eV/f.u.
V   85 Å³/cell
DFT formation energy   -1.01 eV per atom

Cell lengths 6.330, 6.330, 6.330 Å; angles 144.50, 144.50, 51.09 degrees
Sites, in units of the cell vectors:
La 0.000 0.000 0.000
Co 0.250 0.750 0.500
P 0.357 0.357 0.000
P 0.643 0.643 0.000
Ru 0.750 0.250 0.500

***

A plane-wave DFT calculation with PBE-GGA was carried out for a relaxed structure of AlSnTe2.

Values from the calculation:
DOS(E_F)   2.19 states/eV/f.u.
Calculated total energy   -13.2 eV/cell
V   108 Å³/cell

Cell lengths 11.790, 11.790, 11.790 Å; angles 15.99, 15.99, 15.99 degrees
Sites, in units of the cell vectors:
Al 0.000 0.000 0.000
Sn 0.500 0.500 0.500
Te 0.080 0.080 0.080
Te 0.920 0.920 0.920

***

A plane-wave DFT calculation with PBE-GGA was carried out for a relaxed structure of Be2CdMo.

Values from the calculation:
DOS(E_F)   2.27 states/eV/f.u.
V   57 Å³/cell
DFT formation energy   0.54 eV per atom

Cell lengths 8.728, 8.728, 8.728 Å; angles 18.20, 18.20, 18.20 degrees
Sites, in units of the cell vectors:
Be 0.000 0.000 0.000
Be 0.268 0.268 0.268
Cd 0.512 0.512 0.512
Mo 0.745 0.745 0.745

***

A plane-wave DFT calculation with PBE-GGA was carried out for a relaxed structure of Ac2Mg3Cd9.

Values from the calculation:
DOS(E_F)   6.03 states/eV/f.u.
V   704 Å³/cell
DFT formation energy   -0.23 eV per atom

Cell lengths 8.832, 8.832, 10.325 Å; angles 90.00, 90.00, 60.96 degrees
Sites, in units of the cell vectors:
Ac 0.006 0.677 0.750
Ac 0.323 0.994 0.750
Ac 0.677 0.006 0.250
Ac 0.994 0.323 0.250
Mg 0.000 0.000 0.000
Mg 0.000 0.000 0.500
Mg 0.317 0.317 0.000
Mg 0.317 0.317 0.500
Mg 0.683 0.683 0.000
Mg 0.683 0.683 0.500
Cd 0.017 0.658 0.088
Cd 0.017 0.658 0.412
Cd 0.139 0.861 0.250
Cd 0.334 0.666 0.541
Cd 0.334 0.666 0.959
Cd 0.342 0.983 0.088
Cd 0.342 0.983 0.412
Cd 0.354 0.451 0.250
Cd 0.451 0.354 0.750
Cd 0.549 0.646 0.250
Cd 0.646 0.549 0.750
Cd 0.658 0.017 0.588
Cd 0.658 0.017 0.912
Cd 0.666 0.334 0.041
Cd 0.666 0.334 0.459
Cd 0.861 0.139 0.750
Cd 0.983 0.342 0.588
Cd 0.983 0.342 0.912

***

A plane-wave DFT calculation with PBE-GGA was carried out for a relaxed structure of PmEr2TmSc2.

Values from the calculation:
DOS(E_F)   10.34 states/eV/f.u.
V   347 Å³/cell
DFT formation energy   0.08 eV per atom

Cell lengths 6.741, 9.460, 5.441 Å; angles 90.00, 90.00, 90.00 degrees
Sites, in units of the cell vectors:
Pm 0.000 0.000 0.000
Pm 0.500 0.500 0.500
Er 0.247 0.333 0.000
Er 0.253 0.833 0.500
Er 0.747 0.167 0.500
Er 0.753 0.667 0.000
Tm 0.000 0.500 0.500
Tm 0.500 0.000 0.000
Sc 0.250 0.167 0.500
Sc 0.250 0.667 0.000
Sc 0.750 0.333 0.000
Sc 0.750 0.833 0.500

***

A plane-wave DFT calculation with PBE-GGA was carried out for a relaxed structure of CsTl2Cu2Cl7.

Values from the calculation:
DOS(E_F)   4.19 states/eV/f.u.
Calculated total energy   -37.7 eV/cell
V   316 Å³/cell

Cell lengths 4.984, 4.984, 13.176 Å; angles 100.84, 100.84, 90.00 degrees
Sites, in units of the cell vectors:
Cs 0.000 0.000 0.000
Tl 0.182 0.182 0.364
Tl 0.818 0.818 0.636
Cu 0.404 0.404 0.806
Cu 0.596 0.596 0.194
Cl 0.097 0.597 0.195
Cl 0.312 0.312 0.621
Cl 0.403 0.903 0.805
Cl 0.500 0.500 0.000
Cl 0.597 0.097 0.195
Cl 0.688 0.688 0.379
Cl 0.903 0.403 0.805

***

A plane-wave DFT calculation with PBE-GGA was carried out for a relaxed structure of In2AsO.

Values from the calculation:
DOS(E_F)   1.25 states/eV/f.u.
Calculated total energy   -34.5 eV/cell
V   185 Å³/cell

Cell lengths 7.128, 7.128, 7.128 Å; angles 133.96, 133.96, 67.14 degrees
Sites, in units of the cell vectors:
In 0.062 0.625 0.937
In 0.375 0.312 0.437
In 0.688 0.125 0.063
In 0.875 0.938 0.563
As 0.250 0.750 0.500
As 0.500 0.500 0.000
O 0.000 0.000 0.000
O 0.750 0.250 0.500

***

A plane-wave DFT calculation with PBE-GGA was carried out for a relaxed structure of MgMoW.

Values from the calculation:
DOS(E_F)   2.49 states/eV/f.u.
V   52 Å³/cell
DFT formation energy   0.34 eV per atom

Cell lengths 5.324, 5.324, 5.324 Å; angles 143.82, 143.82, 52.09 degrees
Sites, in units of the cell vectors:
Mg 0.000 0.000 0.000
Mo 0.688 0.688 0.000
W 0.311 0.311 0.000

***

A plane-wave DFT calculation with PBE-GGA was carried out for a relaxed structure of KBaOs2O8.

Values from the calculation:
DOS(E_F)   11.70 states/eV/f.u.
Calculated total energy   -82.2 eV/cell
V   271 Å³/cell

Cell lengths 6.133, 6.133, 8.307 Å; angles 90.00, 90.00, 120.00 degrees
Sites, in units of the cell vectors:
K 0.000 0.000 0.000
Ba 0.000 0.000 0.500
Os 0.333 0.667 0.308
Os 0.667 0.333 0.692
O 0.172 0.344 0.247
O 0.172 0.828 0.247
O 0.333 0.667 0.523
O 0.344 0.172 0.753
O 0.656 0.828 0.247
O 0.667 0.333 0.477
O 0.828 0.172 0.753
O 0.828 0.656 0.753

***

A plane-wave DFT calculation with PBE-GGA was carried out for a relaxed structure of Pm2BiPd6.

Values from the calculation:
DOS(E_F)   5.12 states/eV/f.u.
V   195 Å³/cell
DFT formation energy   -0.43 eV per atom

Cell lengths 7.072, 7.072, 7.072 Å; angles 144.07, 103.36, 87.66 degrees
Sites, in units of the cell vectors:
Pm 0.176 0.176 0.000
Pm 0.824 0.824 0.000
Bi 0.500 0.500 0.000
Pd 0.064 0.339 0.725
Pd 0.279 0.000 0.279
Pd 0.386 0.661 0.725
Pd 0.614 0.339 0.275
Pd 0.721 0.000 0.721
Pd 0.936 0.661 0.275

***

A plane-wave DFT calculation with PBE-GGA was carried out for a relaxed structure of RhPbS2O8.

Values from the calculation:
DOS(E_F)   0.74 states/eV/f.u.
Calculated total energy   -72.6 eV/cell
V   171 Å³/cell

Cell lengths 4.953, 4.953, 7.641 Å; angles 94.77, 94.77, 66.73 degrees
Sites, in units of the cell vectors:
Rh 0.000 0.000 0.000
Pb 0.000 0.000 0.500
S 0.363 0.363 0.222
S 0.637 0.637 0.778
O 0.244 0.694 0.220
O 0.247 0.247 0.061
O 0.287 0.287 0.391
O 0.306 0.756 0.780
O 0.694 0.244 0.220
O 0.713 0.713 0.609
O 0.753 0.753 0.939
O 0.756 0.306 0.780

***

A plane-wave DFT calculation with PBE-GGA was carried out for a relaxed structure of CsTlP2.

Values from the calculation:
DOS(E_F)   2.19 states/eV/f.u.
V   271 Å³/cell
DFT formation energy   0.19 eV per atom

Cell lengths 10.187, 10.187, 10.187 Å; angles 149.55, 149.55, 43.61 degrees
Sites, in units of the cell vectors:
Cs 0.375 0.625 0.750
Cs 0.625 0.375 0.250
Tl 0.125 0.875 0.250
Tl 0.875 0.125 0.750
P 0.000 0.000 0.000
P 0.000 0.000 0.500
P 0.000 0.500 0.000
P 0.500 0.000 0.500

***

A plane-wave DFT calculation with PBE-GGA was carried out for a relaxed structure of Y2CuAuN.

Values from the calculation:
DOS(E_F)   4.60 states/eV/f.u.
Calculated total energy   -32.7 eV/cell
V   92 Å³/cell

Cell lengths 4.860, 4.860, 3.877 Å; angles 90.00, 90.00, 90.00 degrees
Sites, in units of the cell vectors:
Y 0.000 0.500 0.000
Y 0.500 0.000 0.000
Cu 0.000 0.000 0.500
Au 0.500 0.500 0.500
N 0.000 0.000 0.000